[1]
# ScRe2Pt | Alexandria via LeMat-Bulk | PBE | relaxed
data_ScRe2Pt
_chemical_formula_sum 'Sc1 Re2 Pt1'
_cell_length_a 4.730
_cell_length_b 4.730
_cell_length_c 4.730
_cell_angle_alpha 127.92
_cell_angle_beta 127.92
_cell_angle_gamma 76.76
_space_group_name_H-M_alt 'P 1'
_space_group_IT_number 1
loop_
_space_group_symop_operation_xyz
'x,y,z'
loop_
_atom_site_label
_atom_site_type_symbol
_atom_site_fract_x
_atom_site_fract_y
_atom_site_fract_z
Pt1 Pt 0.750 0.250 0.500
Re1 Re 0.000 0.000 0.000
Re2 Re 0.250 0.750 0.500
Sc1 Sc 0.500 0.500 0.000
# symmetry: No. 119
# DOS(E_F): 4.44 states/eV/cell
# excess energy over the best structure of this formula in the dataset: 94.5 meV/atom
# energy relative to the elements: -168 meV/atom
# raw total energy: -9.48 eV/atom
# density: 15.900 g/cm3
# magnetic moment: 0.0 μB/f.u.


[2]
# Sc2RePt | Alexandria via LeMat-Bulk | PBE | relaxed
data_Sc2RePt
_chemical_formula_sum 'Sc2 Re1 Pt1'
_cell_length_a 4.667
_cell_length_b 4.667
_cell_length_c 5.538
_cell_angle_alpha 82.06
_cell_angle_beta 82.06
_cell_angle_gamma 36.30
_space_group_name_H-M_alt 'P 1'
_space_group_IT_number 1
loop_
_space_group_symop_operation_xyz
'x,y,z'
loop_
_atom_site_label
_atom_site_type_symbol
_atom_site_fract_x
_atom_site_fract_y
_atom_site_fract_z
Pt1 Pt 0.250 0.250 0.250
Re1 Re 0.750 0.750 0.750
Sc1 Sc 0.999 0.999 0.996
Sc2 Sc 0.501 0.501 0.504
# symmetry: No. 12
# DOS(E_F): 3.92 states/eV/cell
# energy relative to the elements: -237 meV/atom
# raw total energy: -8.03 eV/atom
# density: 11.076 g/cm3
# magnetic moment: 0.0 μB/f.u.


[3]
# Sc4RePt | Alexandria via LeMat-Bulk | PBE | relaxed
data_Sc4RePt
_chemical_formula_sum 'Sc4 Re1 Pt1'
_cell_length_a 5.401
_cell_length_b 5.401
_cell_length_c 5.401
_cell_angle_alpha 60.00
_cell_angle_beta 60.00
_cell_angle_gamma 60.00
_space_group_name_H-M_alt 'P 1'
_space_group_IT_number 1
loop_
_space_group_symop_operation_xyz
'x,y,z'
loop_
_atom_site_label
_atom_site_type_symbol
_atom_site_fract_x
_atom_site_fract_y
_atom_site_fract_z
Sc1 Sc 0.875 0.375 0.375
Sc2 Sc 0.375 0.375 0.875
Sc3 Sc 0.375 0.875 0.375
Sc4 Sc 0.375 0.375 0.375
Re1 Re 0.000 0.000 0.000
Pt1 Pt 0.750 0.750 0.750
# symmetry: No. 216
# DOS(E_F): 5.92 states/eV/cell
# energy relative to the elements: 341 meV/atom
# raw total energy: -6.96 eV/atom
# density: 8.364 g/cm3
# magnetic moment: 0.0 μB/f.u.


[4]
# ScRePt | Alexandria via LeMat-Bulk | PBE | relaxed
data_ScRePt
_chemical_formula_sum 'Sc1 Re1 Pt1'
_cell_length_a 4.371
_cell_length_b 4.371
_cell_length_c 4.371
_cell_angle_alpha 60.00
_cell_angle_beta 60.00
_cell_angle_gamma 60.00
_space_group_name_H-M_alt 'P 1'
_space_group_IT_number 1
loop_
_space_group_symop_operation_xyz
'x,y,z'
loop_
_atom_site_label
_atom_site_type_symbol
_atom_site_fract_x
_atom_site_fract_y
_atom_site_fract_z
Pt1 Pt 0.750 0.750 0.750
Re1 Re 0.000 0.000 0.000
Sc1 Sc 0.500 0.500 0.500
# symmetry: No. 216
# DOS(E_F): 5.14 states/eV/cell
# excess energy over the best structure of this formula in the dataset: 509.8 meV/atom
# energy relative to the elements: 152 meV/atom
# raw total energy: -8.12 eV/atom
# density: 11.988 g/cm3
# magnetic moment: 0.0 μB/f.u.


[5]
# ScRe2Pt | Alexandria via LeMat-Bulk | PBE | relaxed
data_ScRe2Pt
_chemical_formula_sum 'Sc1 Re2 Pt1'
_cell_length_a 5.077
_cell_length_b 5.077
_cell_length_c 2.712
_cell_angle_alpha 90.00
_cell_angle_beta 90.00
_cell_angle_gamma 114.01
_space_group_name_H-M_alt 'P 1'
_space_group_IT_number 1
loop_
_space_group_symop_operation_xyz
'x,y,z'
loop_
_atom_site_label
_atom_site_type_symbol
_atom_site_fract_x
_atom_site_fract_y
_atom_site_fract_z
Pt1 Pt 0.000 0.500 0.500
Re1 Re 0.000 0.000 0.000
Re2 Re 0.500 0.500 0.000
Sc1 Sc 0.500 0.000 0.500
# symmetry: No. 65
# DOS(E_F): 3.55 states/eV/cell
# excess energy over the best structure of this formula in the dataset: 242.2 meV/atom
# energy relative to the elements: -20 meV/atom
# raw total energy: -9.34 eV/atom
# density: 15.929 g/cm3
# magnetic moment: 0.0 μB/f.u.


[6]
# Sc2RePt | Alexandria via LeMat-Bulk | PBE | relaxed
data_Sc2RePt
_chemical_formula_sum 'Sc2 Re1 Pt1'
_cell_length_a 2.869
_cell_length_b 2.869
_cell_length_c 8.890
_cell_angle_alpha 90.00
_cell_angle_beta 90.00
_cell_angle_gamma 90.00
_space_group_name_H-M_alt 'P 1'
_space_group_IT_number 1
loop_
_space_group_symop_operation_xyz
'x,y,z'
loop_
_atom_site_label
_atom_site_type_symbol
_atom_site_fract_x
_atom_site_fract_y
_atom_site_fract_z
Pt1 Pt 0.000 0.000 0.517
Re1 Re 0.500 0.500 0.730
Sc1 Sc 0.000 0.000 0.969
Sc2 Sc 0.500 0.500 0.284
# symmetry: No. 99
# DOS(E_F): 4.46 states/eV/cell
# energy relative to the elements: -181 meV/atom
# raw total energy: -7.97 eV/atom
# density: 10.689 g/cm3
# magnetic moment: 0.0 μB/f.u.


[7]
# ScRe2Pt | Alexandria via LeMat-Bulk | PBE | relaxed
data_ScRe2Pt
_chemical_formula_sum 'Sc1 Re2 Pt1'
_cell_length_a 4.871
_cell_length_b 2.781
_cell_length_c 4.842
_cell_angle_alpha 85.84
_cell_angle_beta 90.00
_cell_angle_gamma 90.00
_space_group_name_H-M_alt 'P 1'
_space_group_IT_number 1
loop_
_space_group_symop_operation_xyz
'x,y,z'
loop_
_atom_site_label
_atom_site_type_symbol
_atom_site_fract_x
_atom_site_fract_y
_atom_site_fract_z
Pt1 Pt 0.500 0.750 0.750
Re1 Re 0.000 0.939 0.007
Re2 Re 0.000 0.561 0.493
Sc1 Sc 0.500 0.250 0.250
# symmetry: No. 10
# DOS(E_F): 3.90 states/eV/cell
# excess energy over the best structure of this formula in the dataset: 177.1 meV/atom
# energy relative to the elements: -85 meV/atom
# raw total energy: -9.40 eV/atom
# density: 15.548 g/cm3
# magnetic moment: 0.0 μB/f.u.


[8]
# ScRe2Pt | Alexandria via LeMat-Bulk | PBE | relaxed
data_ScRe2Pt
_chemical_formula_sum 'Sc1 Re2 Pt1'
_cell_length_a 3.292
_cell_length_b 4.253
_cell_length_c 4.601
_cell_angle_alpha 90.00
_cell_angle_beta 90.00
_cell_angle_gamma 90.00
_space_group_name_H-M_alt 'P 1'
_space_group_IT_number 1
loop_
_space_group_symop_operation_xyz
'x,y,z'
loop_
_atom_site_label
_atom_site_type_symbol
_atom_site_fract_x
_atom_site_fract_y
_atom_site_fract_z
Pt1 Pt 0.000 0.500 0.500
Re1 Re 0.000 0.000 0.000
Re2 Re 0.500 0.500 0.000
Sc1 Sc 0.500 0.000 0.500
# symmetry: No. 47
# DOS(E_F): 3.77 states/eV/cell
# excess energy over the best structure of this formula in the dataset: 55.1 meV/atom
# energy relative to the elements: -207 meV/atom
# raw total energy: -9.52 eV/atom
# density: 15.786 g/cm3
# magnetic moment: 0.0 μB/f.u.


[9]
# ScRe2Pt | Alexandria via LeMat-Bulk | PBE | relaxed
data_ScRe2Pt
_chemical_formula_sum 'Sc1 Re2 Pt1'
_cell_length_a 4.496
_cell_length_b 4.496
_cell_length_c 4.496
_cell_angle_alpha 60.00
_cell_angle_beta 60.00
_cell_angle_gamma 60.00
_space_group_name_H-M_alt 'P 1'
_space_group_IT_number 1
loop_
_space_group_symop_operation_xyz
'x,y,z'
loop_
_atom_site_label
_atom_site_type_symbol
_atom_site_fract_x
_atom_site_fract_y
_atom_site_fract_z
Sc1 Sc 0.000 0.000 0.000
Re1 Re 0.250 0.250 0.250
Re2 Re 0.750 0.750 0.750
Pt1 Pt 0.500 0.500 0.500
# symmetry: No. 225
# DOS(E_F): 9.19 states/eV/cell
# excess energy over the best structure of this formula in the dataset: 572.6 meV/atom
# energy relative to the elements: 311 meV/atom
# raw total energy: -9.01 eV/atom
# density: 15.824 g/cm3
# magnetic moment: 0.0 μB/f.u.


[10]
# ScRe2Pt | Alexandria via LeMat-Bulk | PBE | relaxed
data_ScRe2Pt
_chemical_formula_sum 'Sc2 Re4 Pt2'
_cell_length_a 7.631
_cell_length_b 7.631
_cell_length_c 5.952
_cell_angle_alpha 50.13
_cell_angle_beta 50.13
_cell_angle_gamma 90.00
_space_group_name_H-M_alt 'P 1'
_space_group_IT_number 1
loop_
_space_group_symop_operation_xyz
'x,y,z'
loop_
_atom_site_label
_atom_site_type_symbol
_atom_site_fract_x
_atom_site_fract_y
_atom_site_fract_z
Sc1 Sc 0.500 0.500 0.000
Sc2 Sc 0.250 0.750 0.500
Re1 Re 0.660 0.125 0.250
Re2 Re 0.090 0.625 0.250
Re3 Re 0.375 0.340 0.750
Re4 Re 0.875 0.910 0.750
Pt1 Pt 0.000 0.000 0.000
Pt2 Pt 0.750 0.250 0.500
# symmetry: No. 122
# DOS(E_F): 9.91 states/eV/cell
# excess energy over the best structure of this formula in the dataset: 724.0 meV/atom
# energy relative to the elements: 462 meV/atom
# raw total energy: -8.86 eV/atom
# density: 13.900 g/cm3
# magnetic moment: 0.0 μB/f.u.


Among the records above, which one has the lowest density? Sc4RePt